[1]
First-principles (GGA-PBE) data for KFe3 after structural relaxation, as listed in Alexandria via LeMat-Bulk.

Cell and atoms, written as POSCAR:
```
KFe3
1.0
4.0583 0.0000 0.0000
0.0000 4.0583 0.0000
0.0000 0.0000 4.0583
Fe K
3 1
direct
0.0000 0.5000 0.5000
0.5000 0.0000 0.5000
0.5000 0.5000 0.0000
0.0000 0.0000 0.0000
```

Values from the calculation:
DFT total energy   -5.2522 eV per atom
E_form   1.369 eV per atom


[2]
First-principles (GGA-PBE) data for Ac2La6Tb after structural relaxation, as listed in Alexandria via LeMat-Bulk.

Cell and atoms, written as POSCAR:
```
Ac2La6Tb
1.0
3.7822 0.0000 0.0000
-1.8911 3.2754 0.0000
0.0000 0.0000 27.9370
Ac La Tb
2 6 1
direct
0.6667 0.3333 0.3281
0.6667 0.3333 0.6719
0.6667 0.3333 0.8965
0.3333 0.6667 0.4391
0.3333 0.6667 0.7874
0.3333 0.6667 0.2126
0.3333 0.6667 0.5609
0.6667 0.3333 0.1035
0.3333 0.6667 0.0000
```

Values from the calculation:
DFT total energy   -4.6464 eV per atom
E_form   0.066 eV per atom


[3]
First-principles (GGA-PBE) data for TaBe2BiC after structural relaxation, as listed in Alexandria via LeMat-Bulk.

Cell and atoms, written as POSCAR:
```
TaBe2BiC
1.0
-0.5337 3.7983 -1.1678
-2.2553 0.8094 3.6631
3.3946 1.0483 1.8584
Be C Bi Ta
2 1 1 1
direct
0.0000 0.0000 0.5000
0.5000 0.0000 0.0000
0.0000 0.0000 0.0000
0.5000 0.5000 0.5000
0.0000 0.5000 0.0000
```

Values from the calculation:
DFT total energy   -5.8938 eV per atom
E_form   0.588 eV per atom


[4]
First-principles (GGA-PBE) data for AcY7Tm2 after structural relaxation, as listed in Alexandria via LeMat-Bulk.

Cell and atoms, written as POSCAR:
```
AcY7Tm2
1.0
-0.7680 -4.5718 2.0876
11.1436 -2.2085 -0.7367
-4.7887 3.3356 5.5450
Ac Y Tm
1 7 2
direct
0.0000 0.0000 0.0000
0.0000 0.7972 0.3932
0.0000 0.2028 0.6068
0.0000 0.5950 0.7953
0.0000 0.4050 0.2047
0.5000 0.8977 0.2013
0.5000 0.1023 0.7987
0.5000 0.5000 0.0000
0.5000 0.6938 0.5909
0.5000 0.3062 0.4091
```

Values from the calculation:
DFT total energy   -5.7891 eV per atom
E_form   0.041 eV per atom


[5]
First-principles (GGA-PBE) data for CrNi2Rh3 after structural relaxation, as listed in Alexandria via LeMat-Bulk.

Cell and atoms, written as POSCAR:
```
CrNi2Rh3
1.0
-2.0147 1.5096 -2.8246
-4.8759 -3.3745 -0.8599
-5.6413 5.5419 1.9200
Cr Ni Rh
2 4 6
direct
0.6608 0.6785 0.0000
0.3392 0.3215 0.0000
0.0000 0.0000 0.0000
0.5000 0.0000 0.5000
0.1707 0.6587 0.5000
0.8293 0.3413 0.5000
0.4118 0.6654 0.7562
0.2479 0.0000 0.2515
0.5882 0.3346 0.2438
0.9228 0.6654 0.2438
0.0772 0.3346 0.7562
0.7521 0.0000 0.7485
```

Values from the calculation:
DFT total energy   -7.2317 eV per atom
Polymorph energy (0 for the lowest one)   0.00 kJ per mole of atoms
E_form   -0.025 eV per atom


[6]
First-principles (GGA-PBE) data for NdTePd2 after structural relaxation, as listed in Alexandria via LeMat-Bulk.

Cell and atoms, written as POSCAR:
```
NdTePd2
1.0
-1.4314 -1.2325 -4.3017
-0.9859 -4.4943 -0.9499
-5.2071 -1.2107 -0.4860
Te Nd Pd
1 1 2
direct
0.5000 0.5000 0.5000
0.0000 0.0000 0.0000
0.7801 0.7801 0.6597
0.2199 0.2199 0.3403
```

Values from the calculation:
Formation energy (no corrections)   -2.9 eV/f.u.
DFT total energy   -5.2911 eV per atom
Polymorph energy (0 for the lowest one)   0.00 kJ per mole of atoms


[7]
First-principles (GGA-PBE) data for Mn2TcRu after structural relaxation, as listed in Alexandria via LeMat-Bulk.

Cell and atoms, written as POSCAR:
```
Mn2TcRu
1.0
-4.4406 0.6126 -2.1521
-1.5132 -3.4731 -3.2209
1.4809 0.8022 4.6786
Mn Ru Tc
2 1 1
direct
0.9974 0.9974 0.0000
0.7529 0.2529 0.5000
0.5038 0.5038 0.0000
0.2459 0.7459 0.5000
```

Values from the calculation:
DFT total energy   -9.3942 eV per atom
E_form   0.101 eV per atom


[8]
First-principles (GGA-PBE) data for Li2CdPd2 after structural relaxation, as listed in Alexandria via LeMat-Bulk.

Cell and atoms, written as POSCAR:
```
Li2CdPd2
1.0
3.5746 0.0000 0.0000
0.0000 3.5746 0.0000
1.7873 1.7873 6.4607
Li Pd Cd
2 2 1
direct
0.7500 0.2500 0.5000
0.2500 0.7500 0.5000
0.3943 0.3943 0.2113
0.6057 0.6057 0.7887
0.0000 0.0000 0.0000
```

Values from the calculation:
DFT total energy   -3.2111 eV per atom
Polymorph energy (0 for the lowest one)   20.62 kJ per mole of atoms
E_form   -0.185 eV per atom


[9]
First-principles (GGA-PBE) data for YPuIrAu after structural relaxation, as listed in Alexandria via LeMat-Bulk.

Cell and atoms, written as POSCAR:
```
YPuIrAu
1.0
4.9888 0.0000 0.0000
2.4944 4.3204 0.0000
2.4944 1.4401 4.0733
Y Ir Au Pu
1 1 1 1
direct
0.7500 0.7500 0.7500
0.5000 0.5000 0.5000
0.0000 0.0000 0.0000
0.2500 0.2500 0.2500
```

Values from the calculation:
DFT total energy   -8.7982 eV per atom
E_form   -0.565 eV per atom


[10]
First-principles (GGA-PBE) data for IrPt3Se after structural relaxation, as listed in Alexandria via LeMat-Bulk.

Cell and atoms, written as POSCAR:
```
IrPt3Se
1.0
-2.2884 -3.9363 0.6857
0.9109 0.2555 4.5063
-3.8903 2.3752 0.6517
Ir Se Pt
1 1 3
direct
0.5000 0.5000 0.5000
0.0000 0.0000 0.0000
0.0000 0.5000 0.0000
0.0000 0.0000 0.5000
0.5000 0.0000 0.0000
```

Values from the calculation:
Formation energy (no corrections)   5.8 eV/f.u.
DFT total energy   -4.9417 eV per atom
Polymorph energy (0 for the lowest one)   0.00 kJ per mole of atoms


[11]
First-principles (GGA-PBE) data for MgCo3 after structural relaxation, as listed in Alexandria via LeMat-Bulk.

Cell and atoms, written as POSCAR:
```
MgCo3
1.0
-2.7429 1.2628 -4.1152
-3.5752 -2.4559 1.6294
-2.8426 6.7747 3.9737
Mg Co
4 12
direct
0.6146 0.9532 0.7500
0.1146 0.5468 0.2500
0.8854 0.4532 0.7500
0.3854 0.0468 0.2500
0.1303 0.9319 0.7500
0.6303 0.5681 0.2500
0.3697 0.4319 0.7500
0.8697 0.0681 0.2500
0.6394 0.2833 0.0124
0.1394 0.2167 0.9876
0.8606 0.7833 0.4876
0.3606 0.7167 0.5124
0.3606 0.7167 0.9876
0.8606 0.7833 0.0124
0.1394 0.2167 0.5124
0.6394 0.2833 0.4876
```

Values from the calculation:
DFT total energy   -5.5794 eV per atom
E_form   0.149 eV per atom


[12]
First-principles (GGA-PBE) data for K2PrUS4 after structural relaxation, as listed in Alexandria via LeMat-Bulk.

Cell and atoms, written as POSCAR:
```
K2PrUS4
1.0
4.1462 0.0000 0.0000
0.0000 7.1771 0.1214
0.0000 -2.5193 7.3709
K Pr U S
2 1 1 4
direct
0.5000 0.0000 0.5000
0.0000 0.5000 0.5000
0.0000 0.0000 0.0000
0.5000 0.5000 0.0000
0.5000 0.2462 0.2091
0.5000 0.7538 0.7909
0.0000 0.2752 0.7961
0.0000 0.7248 0.2039
```

Values from the calculation:
Formation energy (no corrections)   -12.8 eV/f.u.
DFT total energy   -5.9430 eV per atom


[13]
First-principles (GGA-PBE) data for TlTc2Te after structural relaxation, as listed in Alexandria via LeMat-Bulk.

Cell and atoms, written as POSCAR:
```
TlTc2Te
1.0
-1.4291 2.6692 -0.5439
-2.4951 -1.5291 -0.9482
-3.0589 0.0018 8.0460
Tc Te Tl
2 1 1
direct
0.0000 0.0000 0.0430
0.5000 0.5000 0.2219
0.0000 0.0000 0.4373
0.5000 0.5000 0.7977
```

Values from the calculation:
Formation energy (no corrections)   1.3 eV/f.u.
DFT total energy   -6.2374 eV per atom
Polymorph energy (0 for the lowest one)   0.00 kJ per mole of atoms


[14]
First-principles (GGA-PBE) data for Rb2LiNpCl6 after structural relaxation, as listed in Alexandria via LeMat-Bulk.

Cell and atoms, written as POSCAR:
```
Rb2LiNpCl6
1.0
7.5222 0.0000 0.0000
0.0000 7.4925 0.0000
0.0000 0.0000 10.6163
Rb Li Np Cl
4 2 2 12
direct
0.5000 0.7502 0.2515
0.0000 0.2498 0.7515
0.5000 0.7502 0.7485
0.0000 0.2498 0.2485
0.5000 0.2498 0.5000
0.0000 0.7502 0.0000
0.0000 0.7498 0.5000
0.5000 0.2502 0.0000
0.5000 0.2499 0.2557
0.5000 0.2499 0.7443
0.0000 0.7501 0.2443
0.0000 0.7501 0.7557
0.2566 0.0047 0.5000
0.7434 0.0047 0.5000
0.2564 0.4948 0.5000
0.7436 0.4948 0.5000
0.7564 0.5052 0.0000
0.2436 0.5052 0.0000
0.2434 0.9953 0.0000
0.7566 0.9953 0.0000
```

Values from the calculation:
Formation energy (no corrections)   -18.5 eV/f.u.
DFT total energy   -4.6325 eV per atom


[15]
First-principles (GGA-PBE) data for Dy2HoPd after structural relaxation, as listed in Alexandria via LeMat-Bulk.

Cell and atoms, written as POSCAR:
```
Dy2HoPd
1.0
-2.3586 -2.9387 -0.0269
4.9695 -1.5401 -3.6922
4.4043 -3.6027 7.4306
Dy Ho Pd
4 2 2
direct
0.3648 0.7301 0.5601
0.6352 0.2699 0.4399
0.3648 0.7301 0.9399
0.6352 0.2699 0.0601
0.9357 0.8718 0.2500
0.0643 0.1282 0.7500
0.7614 0.5231 0.7500
0.2386 0.4769 0.2500
```

Values from the calculation:
DFT total energy   -5.1991 eV per atom
Polymorph energy (0 for the lowest one)   1.95 kJ per mole of atoms
E_form   -0.455 eV per atom